# 1
Crystalline Cs2ZnHgBr6 at its relaxed geometry, computed with GGA-PBE.

For the calculated total energy, the calculation gives -48.44 eV per cell. For the density of states at the Fermi level, the calculation gives 0.0 states/eV/f.u. The calculation puts the total magnetic moment at 0.00 μB per formula unit.

It has space group I4/mmm (No. 139), with a = 8.0035 Å, b = 8.0035 Å, c = 11.2955 Å, α = 90.00°, β = 90.00° and γ = 90.00°. Symmetry generates all atoms from Cs at (0.0000, 0.5000, 0.2500), Zn at (0.0000, 0.0000, 0.0000), Hg at (0.0000, 0.0000, 0.5000), Br at (0.0000, 0.0000, 0.2747) and Br at (0.2241, 0.2241, 0.0000).

# 2
Crystalline CsZnHg2Br at its relaxed geometry, computed with GGA-PBE.

For the calculated total energy, the calculation gives -6.98 eV per cell. For the density of states at the Fermi level, the calculation gives 1.9 states/eV/f.u. The calculation puts the total magnetic moment at 0.00 μB per formula unit.

It has space group P4/mmm (No. 123), with a = 5.2672 Å, b = 5.2672 Å, c = 6.4142 Å, α = 90.00°, β = 90.00° and γ = 90.00°. Symmetry generates all atoms from Cs at (0.0000, 0.0000, 0.0000), Zn at (0.5000, 0.5000, 0.5000), Hg at (0.0000, 0.5000, 0.5000) and Br at (0.5000, 0.5000, 0.0000).

# 3
Crystalline CsZnHgBr2 at its relaxed geometry, computed with GGA-PBE.

For the calculated total energy, the calculation gives -9.92 eV per cell. For the density of states at the Fermi level, the calculation gives 1.8 states/eV/f.u. The calculation puts the total magnetic moment at 0.00 μB per formula unit.

It has space group P4/mmm (No. 123), with a = 5.8047 Å, b = 5.8047 Å, c = 5.2288 Å, α = 90.00°, β = 90.00° and γ = 90.00°. Symmetry generates all atoms from Cs at (0.0000, 0.0000, 0.0000), Zn at (0.5000, 0.5000, 0.5000), Hg at (0.5000, 0.5000, 0.0000) and Br at (0.0000, 0.5000, 0.5000).

# 4
Crystalline CsZrHg2Br8 at its relaxed geometry, computed with GGA-PBE.

For the calculated total energy, the calculation gives -35.23 eV per cell. For the density of states at the Fermi level, the calculation gives 5.3 states/eV/f.u. The calculation puts the total magnetic moment at 0.00 μB per formula unit.

It has space group P-1 (No. 2), with a = 7.0818 Å, b = 7.5668 Å, c = 9.6800 Å, α = 71.70°, β = 82.67° and γ = 85.55°. Symmetry generates all atoms from Cs at (0.0000, 0.0000, 0.0000), Zr at (0.0000, 0.5000, 0.5000), Hg at (0.4819, 0.4993, 0.2131), Br at (0.1124, 0.5074, 0.7536), Br at (0.2201, 0.7764, 0.3492), Br at (0.2874, 0.2633, 0.4660) and Br at (0.4926, 0.7713, 0.9470).

# 5
Crystalline Cs2ZrHgBr6 at its relaxed geometry, computed with GGA-PBE.

For the calculated total energy, the calculation gives -210.54 eV per cell. For the density of states at the Fermi level, the calculation gives 0.0 states/eV/f.u. The calculation puts the total magnetic moment at 0.00 μB per formula unit.

It has space group R-3m (No. 166, hexagonal axes), with a = 7.8203 Å, b = 7.8203 Å, c = 58.1660 Å, α = 90.00°, β = 90.00° and γ = 120.00°. Symmetry generates all atoms from Cs at (0.0000, 0.0000, 0.1418), Cs at (0.0000, 0.0000, 0.3088), Zr at (0.0000, 0.0000, 0.0000), Zr at (0.0000, 0.0000, 0.5000), Hg at (0.0000, 0.0000, 0.4154), Br at (0.0130, 0.5065, 0.1402) and Br at (0.0135, 0.5067, 0.6931).

# 6
Crystalline Cs2ZrHgBr6 at its relaxed geometry, computed with GGA-PBE.

For the calculated total energy, the calculation gives -139.11 eV per cell. For the density of states at the Fermi level, the calculation gives 0.0 states/eV/f.u. The calculation puts the total magnetic moment at 0.00 μB per formula unit.

It has space group Fm-3m (No. 225), with a = 12.1305 Å, b = 12.1305 Å, c = 12.1305 Å, α = 90.00°, β = 90.00° and γ = 90.00°. Symmetry generates all atoms from Cs at (0.2500, 0.2500, 0.2500), Zr at (0.0000, 0.0000, 0.0000), Hg at (0.0000, 0.0000, 0.5000) and Br at (0.0000, 0.0000, 0.2188).

# 7
Crystalline Cs3Ho2Br9 at its relaxed geometry, computed with GGA-PBE.

For the calculated total energy, the calculation gives -319.72 eV per cell. For the density of states at the Fermi level, the calculation gives 0.0 states/eV/f.u. The calculation puts the total magnetic moment at 0.00 μB per formula unit.

It has space group R-3c (No. 167, hexagonal axes), with a = 13.8747 Å, b = 13.8747 Å, c = 20.1082 Å, α = 90.00°, β = 90.00° and γ = 120.00°. Symmetry generates all atoms from Cs at (0.0000, 0.3383, 0.2500), Ho at (0.0000, 0.0000, 0.1529), Br at (0.0000, 0.1551, 0.7500) and Br at (0.0056, 0.1755, 0.4098).

# 8
Crystalline Cs3HoBr8 at its relaxed geometry, computed with GGA-PBE.

For the calculated total energy, the calculation gives -74.03 eV per cell. For the density of states at the Fermi level, the calculation gives 16.6 states/eV/f.u. The calculation puts the total magnetic moment at 1.63 μB per formula unit.

It has space group I4/mmm (No. 139), with a = 8.1457 Å, b = 8.1457 Å, c = 16.1929 Å, α = 90.00°, β = 90.00° and γ = 90.00°. Symmetry generates all atoms from Cs at (0.0000, 0.0000, 0.0000), Cs at (0.0000, 0.5000, 0.2500), Ho at (0.0000, 0.0000, 0.5000) and Br at (0.2098, 0.2098, 0.3941).